A plane-wave DFT calculation with PBE was carried out for a geometry-optimized KSnBr2Cl structure.

Crystal system = tetragonal
Uncorrected formation energy = -1.23 eV/atom
E above lowest polymorph = 0 meV per atom
Symmetry = I4cm, No. 108

Lattice parameters (Å, degrees): 8.094 8.094 8.012 120.34 120.34 90.00
Atoms (fractional coordinates):
K  0.749  0.249  0.498
Br  0.174  0.322  0.997
Cl  0.758  0.758  0.515
Sn  0.497  0.497  0.994
Cl  0.258  0.258  0.515
Sn  0.997  0.997  0.994
K  0.249  0.749  0.498
Br  0.674  0.174  0.997
Br  0.322  0.822  0.997
Br  0.822  0.674  0.997